# GGA+U V2SiPb5O12, optimized geometry
# calculated total energy = -6.657 eV per atom
# mass density = 6.59 g/cm3
data_V2SiPb5O12
_space_group_name_H-M_alt 'P 1 m 1'
_space_group_IT_number 6
_cell_length_a 10.256
_cell_length_b 7.436
_cell_length_c 10.276
_cell_angle_alpha 90.00
_cell_angle_beta 119.13
_cell_angle_gamma 90.00
loop_
_space_group_symop_operation_xyz
'x,y,z'
'x,-y,z'
loop_
_atom_site_label
_atom_site_fract_x
_atom_site_fract_y
_atom_site_fract_z
V1 0.000 0.000 0.000
V2 0.025 0.500 0.626
V3 0.382 0.500 0.390
V4 0.788 0.500 0.035
Si1 0.421 0.000 0.635
Si2 0.793 0.000 0.438
Pb1 0.071 0.232 0.368
Pb2 0.137 0.000 0.767
Pb3 0.147 0.500 0.025
Pb4 0.409 0.500 0.759
Pb5 0.446 0.000 0.292
Pb6 0.627 0.000 0.978
Pb7 0.664 0.500 0.282
Pb8 0.724 0.249 0.673
O1 0.061 0.184 0.940
O2 0.065 0.000 0.191
O3 0.141 0.313 0.673
O4 0.239 0.000 0.527
O5 0.299 0.500 0.505
O6 0.320 0.316 0.272
O7 0.483 0.176 0.747
O8 0.510 0.000 0.535
O9 0.578 0.500 0.497
O10 0.680 0.177 0.388
O11 0.693 0.500 0.839
O12 0.733 0.316 0.100
O13 0.801 0.000 0.900
O14 0.887 0.000 0.624
O15 0.912 0.000 0.375
O16 0.915 0.500 0.429
O17 0.918 0.500 0.714
O18 0.985 0.500 0.113